# HgSbAs4, optimized geometry, DFT PBE
# electronic total energy: -20.44 eV/f.u.
# formation energy without anion corrections: 9.9 kcal/mol of atoms
data_HgSbAs4
_cell_length_a 5.840
_cell_length_b 5.840
_cell_length_c 5.840
_cell_angle_alpha 60.00
_cell_angle_beta 60.00
_cell_angle_gamma 60.00
_symmetry_space_group_name_H-M 'P 1'
_symmetry_Int_Tables_number 1
loop_
_symmetry_equiv_pos_as_xyz
'x,y,z'
loop_
_atom_site_label
_atom_site_fract_x
_atom_site_fract_y
_atom_site_fract_z
As1 0.387 0.387 0.838
As2 0.838 0.387 0.387
As3 0.387 0.387 0.387
Sb1 0.000 0.000 0.000
As4 0.387 0.838 0.387
Hg1 0.750 0.750 0.750